Entry 1:
! Y4Sb6Rh7 (SCAN, single point on PBEsol structure); values from VASP
! * ρ: 9.23 g/cm³
! * calculated volume: 325.1 Å³/f.u.
! * formation energy from raw total energies: -1.02 eV per atom
! * calculated total energy: -34.627 eV/atom
! * SG: Im-3m, No. 229
&SYSTEM
  ibrav = 0, nat = 17, ntyp = 3
/
ATOMIC_SPECIES
Rh 102.91 Rh.upf
Sb 121.76 Sb.upf
Y 88.91 Y.upf
CELL_PARAMETERS angstrom
-4.6542 -3.2877 4.8799
-2.1004 -1.7061 -6.9973
6.9939 -2.4456 1.1782
ATOMIC_POSITIONS crystal
Rh 0.0000 0.0000 0.0000
Sb 0.3167 0.0000 0.3167
Rh 0.2500 0.7500 0.5000
Y 0.0000 0.0000 0.5000
Sb 0.0000 0.6833 0.6833
Sb 0.0000 0.3167 0.3167
Rh 0.2500 0.5000 0.7500
Sb 0.3167 0.3167 0.0000
Rh 0.5000 0.2500 0.7500
Rh 0.7500 0.2500 0.5000
Sb 0.6833 0.6833 0.0000
Rh 0.5000 0.7500 0.2500
Y 0.5000 0.0000 0.0000
Sb 0.6833 0.0000 0.6833
Rh 0.7500 0.5000 0.2500
Y 0.0000 0.5000 0.0000
Y 0.5000 0.5000 0.5000

---

Entry 2:
! LiCdIn (SCAN, single point on PBEsol structure); values from VASP
! * ρ: 6.46 g/cm³
! * offset from the most stable computed form: 0.006 eV/atom
! * calculated formation energy: -243 meV per atom
! * calculated volume: 60.1 Å³/f.u.
! * calculated total energy: -22.307 eV/atom
! * SG: Imm2, No. 44
&SYSTEM
  ibrav = 0, nat = 3, ntyp = 3
/
ATOMIC_SPECIES
Li 6.94 Li.upf
In 114.82 In.upf
Cd 112.41 Cd.upf
CELL_PARAMETERS angstrom
-0.3140 -3.1447 0.2540
0.7451 0.2709 4.2761
-4.4914 1.9216 -1.5506
ATOMIC_POSITIONS crystal
Li 0.6659 0.6659 0.3318
In 0.3332 0.3332 0.6665
Cd 0.0009 0.0009 0.0018

---

Entry 3:
! ZnRh2Au (SCAN, single point on PBEsol structure); values from VASP
! * ρ: 13.65 g/cm³
! * calculated formation energy: -55 meV per atom
! * calculated volume: 56.9 Å³/f.u.
! * calculated total energy: -37.609 eV/atom
! * SG: Immm, No. 71
&SYSTEM
  ibrav = 0, nat = 4, ntyp = 3
/
ATOMIC_SPECIES
Zn 65.41 Zn.upf
Au 196.97 Au.upf
Rh 102.91 Rh.upf
CELL_PARAMETERS angstrom
-2.0635 -1.3943 1.2471
1.0691 -3.6907 -2.3576
3.3473 1.2668 3.8448
ATOMIC_POSITIONS crystal
Zn 0.0000 0.5000 0.0000
Au 0.5000 0.0000 0.0000
Rh 0.7315 0.7315 0.4631
Rh 0.2685 0.2685 0.5369

---

Entry 4:
! LaTlAsBr2 (SCAN, single point on PBEsol structure); values from VASP
! * ρ: 5.11 g/cm³
! * calculated volume: 187.7 Å³/f.u.
! * formation energy from raw total energies: -0.98 eV per atom
! * calculated total energy: -35.891 eV/atom
! * SG: P4/mmm, No. 123
&SYSTEM
  ibrav = 0, nat = 5, ntyp = 4
/
ATOMIC_SPECIES
As 74.92 As.upf
Br 79.90 Br.upf
La 138.91 La.upf
Tl 204.38 Tl.upf
CELL_PARAMETERS angstrom
5.6696 0.0000 0.0000
0.0000 5.7532 0.0000
0.0000 0.0000 5.7532
ATOMIC_POSITIONS crystal
As 0.5000 0.0000 0.0000
Br 0.0000 0.5000 0.0000
La 0.0000 0.0000 0.0000
Br 0.0000 0.0000 0.5000
Tl 0.5000 0.5000 0.5000

---

Entry 5:
! AlTcTeI2 (SCAN, single point on PBEsol structure); values from VASP
! * ρ: 5.42 g/cm³
! * calculated volume: 155.0 Å³/f.u.
! * formation energy from raw total energies: 0.74 eV per atom
! * calculated total energy: -29.972 eV/atom
! * SG: P4/mmm, No. 123
&SYSTEM
  ibrav = 0, nat = 5, ntyp = 4
/
ATOMIC_SPECIES
Tc 98.00 Tc.upf
I 126.90 I.upf
Te 127.60 Te.upf
Al 26.98 Al.upf
CELL_PARAMETERS angstrom
-4.8770 -1.6567 -1.3451
-1.0101 -1.1635 5.0955
-1.9319 5.0598 0.7724
ATOMIC_POSITIONS crystal
Tc 0.5000 0.5000 0.5000
I 0.0000 0.5000 0.0000
I 0.5000 0.0000 0.0000
Te 0.0000 0.0000 0.5000
Al 0.0000 0.0000 0.0000

---

Entry 6:
! CaBiAu (SCAN, single point on PBEsol structure); values from VASP
! * ρ: 9.74 g/cm³
! * calculated formation energy: -854 meV per atom
! * calculated volume: 76.0 Å³/f.u.
! * calculated total energy: -53.321 eV/atom
! * SG: P6_3mc, No. 186
&SYSTEM
  ibrav = 0, nat = 6, ntyp = 3
/
ATOMIC_SPECIES
Ca 40.08 Ca.upf
Bi 208.98 Bi.upf
Au 196.97 Au.upf
CELL_PARAMETERS angstrom
-2.9061 3.4715 1.5128
0.3583 -4.0627 2.4803
5.7636 3.0271 4.1256
ATOMIC_POSITIONS crystal
Ca 0.0000 0.0000 0.0159
Bi 0.6667 0.3333 0.2945
Au 0.6667 0.3333 0.6895
Au 0.3333 0.6667 0.1895
Bi 0.3333 0.6667 0.7945
Ca 0.0000 0.0000 0.5159

---

Entry 7:
! Al2AuCl (SCAN, single point on PBEsol structure); values from VASP
! * ρ: 6.43 g/cm³
! * offset from the most stable computed form: 0.239 eV/atom
! * calculated volume: 73.9 Å³/f.u.
! * formation energy from raw total energies: -0.03 eV per atom
! * calculated total energy: -23.187 eV/atom
! * SG: I4/mmm, No. 139
&SYSTEM
  ibrav = 0, nat = 4, ntyp = 3
/
ATOMIC_SPECIES
Al 26.98 Al.upf
Cl 35.45 Cl.upf
Au 196.97 Au.upf
CELL_PARAMETERS angstrom
-0.9964 -4.5631 -0.2710
4.1192 1.3884 1.8604
0.7239 -0.4314 4.6020
ATOMIC_POSITIONS crystal
Al 0.7500 0.5000 0.7500
Cl 0.0000 0.0000 0.0000
Au 0.5000 0.0000 0.5000
Al 0.2500 0.5000 0.2500

---

Entry 8:
! Ca2IrC (SCAN, single point on PBEsol structure); values from VASP
! * ρ: 5.05 g/cm³
! * calculated formation energy: -334 meV per atom
! * calculated volume: 93.6 Å³/f.u.
! * calculated total energy: -25.465 eV/atom
! * SG: I-42d, No. 122
&SYSTEM
  ibrav = 0, nat = 8, ntyp = 3
/
ATOMIC_SPECIES
Ca 40.08 Ca.upf
C 12.01 C.upf
Ir 192.22 Ir.upf
CELL_PARAMETERS angstrom
3.8455 0.0000 0.0000
1.9227 6.9759 0.0000
1.9227 0.0000 6.9759
ATOMIC_POSITIONS crystal
Ca 0.4338 0.6912 0.1912
C 0.2500 0.5000 0.5000
Ir 0.7500 0.5000 0.5000
Ca 0.3750 0.1912 0.3088
Ca 0.3162 0.3088 0.8088
Ca 0.8750 0.8088 0.6912
Ir 0.0000 0.0000 0.0000
C 0.5000 0.0000 0.0000

---

Entry 9:
! BaTa2Ir (SCAN, single point on PBEsol structure); values from VASP
! * ρ: 13.11 g/cm³
! * offset from the most stable computed form: 0.000 eV/atom
! * calculated formation energy: 189 meV per atom
! * calculated volume: 87.6 Å³/f.u.
! * calculated total energy: -60.765 eV/atom
! * SG: P4mm, No. 99
&SYSTEM
  ibrav = 0, nat = 4, ntyp = 3
/
ATOMIC_SPECIES
Ta 180.95 Ta.upf
Ba 137.33 Ba.upf
Ir 192.22 Ir.upf
CELL_PARAMETERS angstrom
-2.5763 0.2351 1.7709
0.7265 -2.7009 1.4155
4.6394 4.4739 6.1555
ATOMIC_POSITIONS crystal
Ta 0.0001 0.0000 0.9725
Ta 0.5000 0.5000 0.1840
Ba 0.9998 0.0000 0.5286
Ir 0.5001 0.5000 0.8149

---

Entry 10:
! CuPt2W (SCAN, single point on PBEsol structure); values from VASP
! * ρ: 18.43 g/cm³
! * offset from the most stable computed form: 0.357 eV/atom
! * calculated formation energy: 45 meV per atom
! * calculated volume: 57.4 Å³/f.u.
! * calculated total energy: -56.274 eV/atom
! * SG: F-43m, No. 216
&SYSTEM
  ibrav = 0, nat = 4, ntyp = 3
/
ATOMIC_SPECIES
Cu 63.55 Cu.upf
Pt 195.08 Pt.upf
W 183.84 W.upf
CELL_PARAMETERS angstrom
-3.9827 -1.2779 1.1232
-0.5224 -3.0307 3.0493
-1.6089 1.0799 3.8732
ATOMIC_POSITIONS crystal
Cu 0.5000 0.5000 0.5000
Pt 0.7500 0.7500 0.7500
W 0.2500 0.2500 0.2500
Pt 0.0000 0.0000 0.0000

---

Entry 11:
! K3Sr (SCAN, single point on PBEsol structure); values from VASP
! * ρ: 1.34 g/cm³
! * offset from the most stable computed form: 0.012 eV/atom
! * calculated formation energy: 60 meV per atom
! * calculated volume: 253.7 Å³/f.u.
! * calculated total energy: -11.755 eV/atom
! * SG: Cmmm, No. 65
&SYSTEM
  ibrav = 0, nat = 4, ntyp = 2
/
ATOMIC_SPECIES
K 39.10 K.upf
Sr 87.62 Sr.upf
CELL_PARAMETERS angstrom
-3.8887 -0.9985 -1.5524
2.7654 -3.2987 -0.0148
-4.4981 -3.8324 13.7329
ATOMIC_POSITIONS crystal
K 0.5000 0.5000 0.0000
K 0.0000 0.0000 0.2573
K 0.0000 0.0000 0.7427
Sr 0.5000 0.5000 0.5000

---

Entry 12:
! CePt3 (SCAN, single point on PBEsol structure); values from VASP
! * ρ: 17.42 g/cm³
! * calculated formation energy: -1029 meV per atom
! * calculated volume: 69.1 Å³/f.u.
! * calculated total energy: -64.815 eV/atom
! * SG: Pm-3m, No. 221
&SYSTEM
  ibrav = 0, nat = 4, ntyp = 2
/
ATOMIC_SPECIES
Pt 195.08 Pt.upf
Ce 140.12 Ce.upf
CELL_PARAMETERS angstrom
4.1044 0.0000 0.0000
0.0000 4.1044 0.0000
0.0000 0.0000 4.1044
ATOMIC_POSITIONS crystal
Pt 0.0000 0.5000 0.5000
Pt 0.5000 0.0000 0.5000
Pt 0.5000 0.5000 0.0000
Ce 0.0000 0.0000 0.0000

---

Entry 13:
! Zr2PtAu (SCAN, single point on PBEsol structure); values from VASP
! * ρ: 13.06 g/cm³
! * calculated formation energy: -962 meV per atom
! * calculated volume: 73.1 Å³/f.u.
! * calculated total energy: -51.149 eV/atom
! * SG: Pm, No. 6
&SYSTEM
  ibrav = 0, nat = 4, ntyp = 3
/
ATOMIC_SPECIES
Zr 91.22 Zr.upf
Pt 195.08 Pt.upf
Au 196.97 Au.upf
CELL_PARAMETERS angstrom
-0.9958 -2.3536 -1.4723
2.6235 -2.8761 2.8233
-3.8504 -0.1423 3.4330
ATOMIC_POSITIONS crystal
Zr 0.8229 0.5000 0.3222
Pt 0.3880 0.5000 0.8084
Au 0.3630 0.0000 0.4464
Zr 0.9261 0.0000 0.9230

---

| no. | density of states at the Fermi level (states/eV per cell) |
| --- | --- |
| 1 | 6.8 |
| 2 | 0.8 |
| 3 | 3.3 |
| 4 | 2.6 |
| 5 | 1.2 |
| 6 | 0.3 |
| 7 | 1.0 |
| 8 | 4.8 |
| 9 | 2.8 |
| 10 | 2.9 |
| 11 | 3.4 |
| 12 | 1.8 |
| 13 | 2.2 |